[1]
Sm2B2Rh5Au, relaxed, DFT PBE-GGA; theoretical density = 11.20 g/cm³; space group = P4/mbm (127); final energy = -6.90 eV/atom
1.0
9.692 0.000 0.000
0.000 9.692 0.000
0.000 0.000 3.264
Sm B Rh Au
4 4 10 2
direct
0.177 0.323 0.000
0.323 0.823 0.000
0.677 0.177 0.000
0.823 0.677 0.000
0.122 0.622 0.000
0.378 0.122 0.000
0.622 0.878 0.000
0.878 0.378 0.000
0.000 0.500 0.500
0.070 0.772 0.500
0.228 0.070 0.500
0.272 0.570 0.500
0.430 0.272 0.500
0.500 0.000 0.500
0.570 0.728 0.500
0.728 0.430 0.500
0.772 0.930 0.500
0.930 0.228 0.500
0.000 0.000 0.000
0.500 0.500 0.000

---

[2]
SnBRh2Au, relaxed, DFT PBE-GGA; theoretical density = 8.79 g/cm³; space group = P4/mmm (123); final energy = -4.28 eV/atom
1.0
4.957 0.000 0.000
0.000 4.957 0.000
0.000 0.000 4.093
Sn B Rh Au
1 1 2 1
direct
0.000 0.000 0.000
0.000 0.000 0.500
0.000 0.500 0.000
0.500 0.000 0.000
0.500 0.500 0.500

---

[3]
Sn2BRhAu, relaxed, DFT PBE-GGA; theoretical density = 9.53 g/cm³; space group = P4/mmm (123); final energy = -4.49 eV/atom
1.0
4.765 0.000 0.000
0.000 4.765 0.000
0.000 0.000 4.207
Sn B Rh Au
2 1 1 1
direct
0.000 0.500 0.000
0.500 0.000 0.000
0.000 0.000 0.000
0.500 0.500 0.500
0.000 0.000 0.500